# 1
Below is AcAsS3 after structural relaxation, with properties calculated at the PBE level.

Geometry as extended XYZ:
```
20
Lattice="7.6636 0.0000 0.0000 0.0000 6.7340 0.0000 0.0000 0.0000 9.8139" Properties=species:S:1:pos:R:3 pbc="T T T"
Ac 0.8194 0.2546 0.0000
Ac 3.0124 3.6215 4.9069
Ac 4.6512 3.1124 0.0000
Ac 6.8442 6.4794 4.9069
As 0.3320 3.5975 2.1357
As 3.4998 0.2306 7.0427
As 4.1638 6.5034 2.1357
As 7.3315 3.1364 7.0427
S 0.1698 2.5523 4.8732
S 1.3379 5.5237 2.9133
S 1.5499 5.6836 6.7702
S 2.2819 2.3167 1.8633
S 2.4939 2.1567 7.8202
S 3.6620 5.9193 9.7802
S 4.0016 0.8146 4.8732
S 5.1697 4.5772 2.9133
S 5.3816 4.4173 6.7702
S 6.1137 1.0503 1.8633
S 6.3257 1.2102 7.8202
S 7.4938 4.1816 9.7802
```

The value obtained for the uncorrected formation energy is -1178 meV per atom. The calculated volume comes out at 506.5 Å³/cell. Its energy above the lowest structure with this stoichiometry is 0.0000 eV/atom. The total magnetization comes out at 0.00 μB per atom.



# 2
Below is Tm8GeTe4As3 after structural relaxation, with properties calculated at the PBE level.

Geometry as extended XYZ:
```
16
Lattice="4.1579 2.4006 6.9764 -4.1579 2.4006 6.9764 0.0000 -4.8011 6.9764" Properties=species:S:1:pos:R:3 pbc="T T T"
Tm 0.0000 0.0000 5.0009
Tm -2.0588 -1.1887 11.9786
Tm 0.0000 -2.3773 8.9506
Tm -2.0588 1.1887 8.9506
Tm 2.0588 -1.1886 11.9786
Tm 0.0000 2.3773 11.9786
Tm 2.0588 1.1886 8.9506
Tm 0.0000 0.0000 15.9282
Ge 0.0000 0.0000 10.4646
Te 0.0000 0.0000 0.0000
Te -2.0790 -1.2003 6.9764
Te -2.0790 1.2003 13.9528
Te 0.0000 2.4006 6.9764
As -4.1579 0.0000 10.4646
As -2.0790 1.2003 3.4882
As 2.0790 1.2003 3.4882
```

The value obtained for the uncorrected formation energy is -1368 meV per atom. The calculated volume comes out at 417.8 Å³/cell. The total magnetization comes out at 0.00 μB per atom.



# 3
Below is NaMnSn2 after structural relaxation, with properties calculated at the PBE level.

Geometry as extended XYZ:
```
4
Lattice="1.6802 0.9701 9.5152 -1.6802 0.9701 9.5152 0.0000 -1.9401 9.5152" Properties=species:S:1:pos:R:3 pbc="T T T"
Na 0.0000 0.0000 0.0000
Mn 0.0000 0.0000 14.2728
Sn 0.0000 0.0000 6.8560
Sn 0.0000 0.0000 21.6896
```

The calculated volume comes out at 93.1 Å³/cell. The calculation puts the calculated formation energy at 0.24 eV/f.u. The total magnetization comes out at 0.87 μB per atom.



# 4
Below is CeThAl4 after structural relaxation, with properties calculated at the PBE level.

Geometry as extended XYZ:
```
6
Lattice="0.0000 3.9957 3.9957 3.9957 0.0000 3.9957 3.9957 3.9957 0.0000" Properties=species:S:1:pos:R:3 pbc="T T T"
Ce 0.0000 0.0000 0.0000
Th 5.9935 5.9935 5.9935
Al 2.9959 2.9959 2.9959
Al 4.9954 4.9954 2.9959
Al 4.9954 2.9959 4.9954
Al 2.9959 4.9954 4.9954
```

The calculated volume comes out at 127.6 Å³/cell. The calculation puts the calculated formation energy at -2.61 eV/f.u. The total magnetization comes out at 0.10 μB per atom.



# 5
Below is Mg2Tl5In12 after structural relaxation, with properties calculated at the PBE level.

Geometry as extended XYZ:
```
19
Lattice="7.6806 -4.6125 0.0000 7.6806 4.6125 0.0000 -0.0342 0.0000 7.4865" Properties=species:S:1:pos:R:3 pbc="T T T"
Mg 7.6806 2.7672 0.0000
Mg 7.6806 -2.7672 0.0000
Tl 2.9010 0.0000 7.3240
Tl 3.9245 0.0000 3.1921
Tl 7.6635 0.0000 3.7432
Tl 11.4025 0.0000 4.2944
Tl 12.4261 0.0000 0.1625
In 0.6556 0.0000 2.3749
In 5.8144 2.5973 2.5354
In 5.2504 1.8132 5.6382
In 9.5126 2.5973 4.9511
In 6.2372 0.0000 0.6213
In 10.0767 1.8132 1.8483
In 5.2504 -1.8132 5.6382
In 9.0899 0.0000 6.8651
In 5.8144 -2.5973 2.5354
In 10.0767 -1.8132 1.8483
In 9.5126 -2.5973 4.9511
In 14.6715 0.0000 5.1116
```

The calculated volume comes out at 530.5 Å³/cell. The calculation puts the calculated formation energy at 0.44 eV/f.u. The total magnetization comes out at 0.00 μB per atom.



# 6
Below is CoSeCl2 after structural relaxation, with properties calculated at the PBE level.

Geometry as extended XYZ:
```
4
Lattice="-1.4714 2.5079 6.4383 1.4714 -2.5079 6.4383 1.4714 2.5079 -6.4383" Properties=species:S:1:pos:R:3 pbc="T T T"
Co 0.0000 0.0000 0.0000
Se 0.0000 0.0000 6.4383
Cl 1.4714 0.0000 1.6929
Cl 0.0000 2.5079 4.7454
```

The value obtained for the uncorrected formation energy is 54 meV per atom. The calculated volume comes out at 95.0 Å³/cell. Its energy above the lowest structure with this stoichiometry is 0.2998 eV/atom. The total magnetization comes out at 0.00 μB per atom.



What did the fourth record say?
Below is CeThAl4 after structural relaxation, with properties calculated at the PBE level.

Geometry as extended XYZ:
```
6
Lattice="0.0000 3.9957 3.9957 3.9957 0.0000 3.9957 3.9957 3.9957 0.0000" Properties=species:S:1:pos:R:3 pbc="T T T"
Ce 0.0000 0.0000 0.0000
Th 5.9935 5.9935 5.9935
Al 2.9959 2.9959 2.9959
Al 4.9954 4.9954 2.9959
Al 4.9954 2.9959 4.9954
Al 2.9959 4.9954 4.9954
```

The calculated volume comes out at 127.6 Å³/cell. The calculation puts the calculated formation energy at -2.61 eV/f.u. The total magnetization comes out at 0.10 μB per atom.